An optimized crystal structure of CoPt2Se. Source: the Alexandria database, functional PBE.

abc: 3.902 3.902 4.040
angles: 90.00 90.00 90.00
Fractional positions:
Co1 0.000 0.000 0.000
Pt1 0.000 0.500 0.500
Pt2 0.500 0.000 0.500
Se1 0.500 0.500 0.000

Output
Space-group type = P4/mmm
Formation energy from raw total energies = 0.2580 eV/atom
DOS(E_F) = 3.90 states/eV/f.u.
Total DFT energy (no corrections) = -5.410 eV/atom
Total moment = 2.7 μB per formula unit



An optimized crystal structure of Tm2ThH8. Source: the Alexandria database, functional PBE.

abc: 6.310 6.310 6.310
angles: 147.07 128.97 62.08
Fractional positions:
Tm1 0.169 0.169 0.000
Tm2 0.831 0.831 0.000
Th1 0.500 0.500 0.000
H1 0.066 0.331 0.735
H2 0.215 0.000 0.215
H3 0.346 0.846 0.500
H4 0.404 0.669 0.735
H5 0.596 0.331 0.265
H6 0.654 0.154 0.500
H7 0.785 0.000 0.785
H8 0.934 0.669 0.265

Output
Space-group type = Immm
DOS(E_F) = 1.85 states/eV/f.u.
Total DFT energy (no corrections) = -4.479 eV/atom
Total moment = 0.0 μB per formula unit



An optimized crystal structure of Pu4GeIr. Source: the Alexandria database, functional PBE.

abc: 5.557 5.557 5.455
angles: 117.24 117.24 45.50
Fractional positions:
Pu1 0.191 0.191 0.473
Pu2 0.194 0.194 0.021
Pu3 0.806 0.806 0.979
Pu4 0.809 0.809 0.527
Ge1 0.500 0.500 0.500
Ir1 0.500 0.500 0.000

Output
Space-group type = C2/m
DOS(E_F) = 14.41 states/eV/f.u.
Total DFT energy (no corrections) = -11.868 eV/atom
Formation energy from the elements = -0.067 eV/atom
Energy relative to the lowest polymorph listed for this composition = 121 meV/atom
Total moment = 0.0 μB per formula unit



An optimized crystal structure of Pm4Pr2Mg. Source: the Alexandria database, functional PBE.

abc: 6.430 12.827 6.652
angles: 90.00 119.08 90.00
Fractional positions:
Pm1 0.075 0.167 0.341
Pm2 0.075 0.333 0.841
Pm3 0.416 0.737 0.678
Pm4 0.416 0.763 0.178
Pm5 0.584 0.237 0.822
Pm6 0.584 0.263 0.322
Pm7 0.925 0.667 0.159
Pm8 0.925 0.833 0.659
Pr1 0.179 0.065 0.891
Pr2 0.179 0.435 0.391
Pr3 0.821 0.565 0.609
Pr4 0.821 0.935 0.109
Mg1 0.500 0.000 0.500
Mg2 0.500 0.500 0.000

Output
Space-group type = P2_1/c
DOS(E_F) = 9.40 states/eV/f.u.
Total DFT energy (no corrections) = -4.171 eV/atom
Formation energy from the elements = 0.137 eV/atom
Energy relative to the lowest polymorph listed for this composition = 60 meV/atom
Total moment = 0.0 μB per formula unit



Which formula does entry 2 have? Tm2ThH8